Compound: YPaNiRh
Source: Alexandria
Functional: PBE
Structure: relaxed

a = 3.657 Å, b = 4.104 Å, c = 5.941 Å
α = 90.00°, β = 107.93°, γ = 90.00°
Atoms (fractional coordinates):
1 Y 0.145 0.000 0.290
2 Pa 0.882 0.500 0.763
3 Ni 0.568 0.500 0.137
4 Rh 0.405 0.000 0.810

## Properties
magnetization = 0.0 μB/cell
energy = -7.89 eV/atom
DFT formation energy = -2.48 eV per formula unit
energy above the most stable polymorph in this dataset = 0.0 meV/atom